Computed, not measured: an optimized crystal structure of NbCoCuO2 at the GGA+U level of DFT.

Unit cell a=3.7076 b=4.9906 c=3.7076 alpha=90.00 beta=90.00 gamma=90.00
Site moments in Bohr magnetons follow the coordinates.
Atoms (fractional coordinates):
Nb (0.0000, 0.5000, 0.0000)  -0.69
Co (0.5000, 0.5000, 0.5000)  1.91
O (0.0000, 0.0000, 0.5000)  -0.09
O (0.5000, 0.0000, 0.0000)  -0.07
Cu (0.0000, 0.0000, 0.0000)  -0.06

The calculation puts the total moment at 0.9 μB/f.u. The total DFT energy (no corrections) is -5.1353 eV/atom.